Below is a geometry-optimized AcZrSc2 structure, with properties calculated at the PBE level.

Results
* N(E_F): 8.0 states/eV per cell
* calculated formation energy: 129 meV/atom
* magnetization: 0.00 μB/atom
* crystal system: tetragonal
* E above lowest polymorph: 0.000 eV per atom

```
AcZrSc2
1.0
3.894 0.000 0.000
0.000 3.894 0.000
0.000 0.000 7.480
Sc Ac Zr
2 1 1
Direct
0.000 0.000 0.706
0.000 0.000 0.294
0.500 0.500 0.000
0.500 0.500 0.500
```

=====

Below is a geometry-optimized Ta2CdAg structure, with properties calculated at the PBE level.

Results
* N(E_F): 2.5 states/eV per cell
* calculated formation energy: 112 meV/atom
* magnetization: 0.00 μB/atom
* crystal system: orthorhombic

```
Ta2CdAg
1.0
-0.672 1.684 -2.213
-2.446 -1.380 0.543
-2.521 6.805 5.943
Cd Ag Ta
1 1 2
Direct
0.500 0.500 0.748
0.000 0.000 0.494
0.000 0.000 0.010
0.500 0.500 0.247
```

=====

Below is a geometry-optimized Ac2InHgIr structure, with properties calculated at the PBE level.

Results
* N(E_F): 7.2 states/eV per cell
* calculated formation energy: -559 meV/atom
* magnetization: 0.00 μB/atom
* crystal system: monoclinic

```
Ac2InHgIr
1.0
-1.363 -0.222 4.239
-2.373 -8.224 -1.193
7.999 0.822 2.615
Ac In Hg Ir
4 2 2 2
Direct
0.750 0.889 0.658
0.750 0.724 0.018
0.250 0.111 0.342
0.250 0.276 0.982
0.250 0.551 0.647
0.750 0.449 0.353
0.250 0.692 0.316
0.750 0.308 0.684
0.250 0.878 0.891
0.750 0.122 0.109
```

=====

Below is a geometry-optimized Sc4InPt2 structure, with properties calculated at the PBE level.

Results
* N(E_F): 7.8 states/eV per cell
* calculated formation energy: -720 meV/atom
* magnetization: 0.00 μB/atom
* crystal system: trigonal
* E above lowest polymorph: 0.130 eV per atom

```
Sc4InPt2
1.0
4.456 0.000 0.000
2.228 3.859 0.000
2.228 1.286 9.347
Sc In Pt
4 1 2
Direct
0.391 0.391 0.827
0.200 0.200 0.400
0.800 0.800 0.600
0.609 0.609 0.173
0.000 0.000 0.000
0.100 0.100 0.699
0.900 0.900 0.301
```